NdHoSn6: optimized geometry, PBE.

Cell and atoms, written as POSCAR:
```
NdHoSn6
1.0
4.810 0.000 0.000
0.000 4.810 0.000
0.000 0.000 9.224
Nd Ho Sn
1 1 6
Direct
0.000 0.000 0.000
0.000 0.000 0.500
0.000 0.500 0.255
0.000 0.500 0.745
0.500 0.000 0.255
0.500 0.000 0.745
0.500 0.500 0.000
0.500 0.500 0.500
```

Computed properties:
SG: P4/mmm (123)
ΔE_f (eV per formula unit): -3.6
Total moment (μB/cell): 0.00
Uncorrected energy (eV per atom): -4.6223

***

Ce12ScTc6: optimized geometry, PBE.

Cell and atoms, written as POSCAR:
```
Ce12ScTc6
1.0
4.796 2.769 5.690
-4.796 2.769 5.690
0.000 -5.538 5.690
Ce Sc Tc
12 1 6
Direct
0.109 0.109 0.512
0.109 0.512 0.109
0.196 0.525 0.525
0.475 0.475 0.804
0.475 0.804 0.475
0.488 0.891 0.891
0.512 0.109 0.109
0.525 0.196 0.525
0.525 0.525 0.196
0.804 0.475 0.475
0.891 0.488 0.891
0.891 0.891 0.488
0.000 0.000 0.000
0.224 0.775 0.775
0.225 0.225 0.776
0.225 0.776 0.225
0.775 0.224 0.775
0.775 0.775 0.224
0.776 0.225 0.225
```

Computed properties:
SG: R-3m (166)
ΔE_f (eV per formula unit): 2.4
Total moment (μB/cell): 1.39
Uncorrected energy (eV per atom): -7.2299

***

HoAl2Ru: optimized geometry, PBE.

Cell and atoms, written as POSCAR:
```
HoAl2Ru
1.0
3.133 0.000 0.000
0.000 3.133 0.000
0.000 0.000 7.240
Ho Al Ru
1 2 1
Direct
0.000 0.000 0.000
0.500 0.500 0.312
0.500 0.500 0.688
0.000 0.000 0.500
```

Computed properties:
SG: P4/mmm (123)
ΔE_f (eV per formula unit): -2.1
Total moment (μB/cell): 0.00
Uncorrected energy (eV per atom): -5.8604

***

KZr3Cu: optimized geometry, PBE.

Cell and atoms, written as POSCAR:
```
KZr3Cu
1.0
4.860 0.000 0.000
0.000 4.860 0.000
0.000 0.000 4.860
K Zr Cu
1 3 1
Direct
0.000 0.000 0.000
0.000 0.000 0.500
0.000 0.500 0.000
0.500 0.000 0.000
0.500 0.500 0.500
```

Computed properties:
SG: Pm-3m (221)
ΔE_f (eV per formula unit): 10.6
Polymorph energy (0 for the lowest one) (meV/atom): 1280
Total moment (μB/cell): 0.08
Uncorrected energy (eV per atom): -4.0521

***

TlAg: optimized geometry, PBE.

Cell and atoms, written as POSCAR:
```
TlAg
1.0
8.039 0.000 0.000
0.000 8.039 0.000
0.000 0.000 8.039
Tl Ag
6 6
Direct
0.000 0.250 0.500
0.000 0.750 0.500
0.250 0.500 0.000
0.500 0.000 0.250
0.500 0.000 0.750
0.750 0.500 0.000
0.000 0.500 0.250
0.000 0.500 0.750
0.250 0.000 0.500
0.500 0.250 0.000
0.500 0.750 0.000
0.750 0.000 0.500
```

Computed properties:
SG: Pm-3n (223)
ΔE_f (eV per formula unit): 1.0
Total moment (μB/cell): 0.00
Uncorrected energy (eV per atom): -2.1090

***

ZnGaAg2: optimized geometry, PBE.

Cell and atoms, written as POSCAR:
```
ZnGaAg2
1.0
3.328 0.000 0.000
0.000 3.328 0.000
0.000 0.000 6.125
Zn Ga Ag
1 1 2
Direct
0.000 0.000 0.000
0.000 0.000 0.500
0.500 0.500 0.242
0.500 0.500 0.758
```

Computed properties:
SG: P4/mmm (123)
ΔE_f (eV per formula unit): 0.0
Total moment (μB/cell): 0.00
Uncorrected energy (eV per atom): -2.4906

***

La8NiPt3Cl4: optimized geometry, PBE.

Cell and atoms, written as POSCAR:
```
La8NiPt3Cl4
1.0
7.339 -4.233 0.000
7.339 4.233 0.000
-4.900 0.000 7.574
La Ni Pt Cl
8 1 3 4
Direct
0.233 0.233 0.707
0.233 0.742 0.707
0.258 0.767 0.293
0.263 0.263 0.290
0.737 0.737 0.710
0.742 0.233 0.707
0.767 0.258 0.293
0.767 0.767 0.293
0.000 0.000 0.500
0.000 0.500 0.500
0.500 0.000 0.500
0.500 0.500 0.500
0.000 0.000 0.000
0.000 0.500 0.000
0.500 0.000 0.000
0.500 0.500 0.000
```

Computed properties:
SG: C2/m (12)
Total moment (μB/cell): 0.00
Uncorrected energy (eV per atom): -5.7490

***

SrTaSi2: optimized geometry, PBE.

Cell and atoms, written as POSCAR:
```
SrTaSi2
1.0
4.491 0.000 0.000
0.000 4.491 0.000
0.000 0.000 7.702
Sr Ta Si
2 2 4
Direct
0.000 0.000 0.000
0.500 0.500 0.500
0.000 0.000 0.500
0.500 0.500 0.000
0.000 0.500 0.250
0.000 0.500 0.750
0.500 0.000 0.250
0.500 0.000 0.750
```

Computed properties:
SG: I4/mmm (139)
Polymorph energy (0 for the lowest one) (meV/atom): 517
Total moment (μB/cell): 0.00
Uncorrected energy (eV per atom): -5.7578

***

PuPaAu6: optimized geometry, PBE.

Cell and atoms, written as POSCAR:
```
PuPaAu6
1.0
4.772 0.000 0.000
0.000 6.417 0.000
0.000 0.000 11.102
Pu Pa Au
2 2 12
Direct
0.000 0.000 0.000
0.000 0.500 0.500
0.500 0.000 0.668
0.500 0.500 0.168
0.000 0.000 0.495
0.000 0.241 0.253
0.000 0.259 0.753
0.000 0.500 0.995
0.000 0.741 0.753
0.000 0.759 0.253
0.500 0.000 0.177
0.500 0.234 0.412
0.500 0.266 0.912
0.500 0.500 0.677
0.500 0.734 0.912
0.500 0.766 0.412
```

Computed properties:
SG: Amm2 (38)
ΔE_f (eV per formula unit): -2.8
Total moment (μB/cell): 11.23
Uncorrected energy (eV per atom): -5.7899

***

Li4Y3HfSe8: optimized geometry, PBE.

Cell and atoms, written as POSCAR:
```
Li4Y3HfSe8
1.0
3.988 2.302 6.507
-3.988 2.302 6.507
0.000 -4.604 6.507
Li Y Hf Se
4 3 1 8
Direct
0.000 0.000 0.000
0.000 0.500 0.500
0.500 0.000 0.500
0.500 0.500 0.000
0.000 0.000 0.500
0.000 0.500 0.000
0.500 0.000 0.000
0.500 0.500 0.500
0.253 0.253 0.253
0.257 0.257 0.735
0.257 0.735 0.257
0.265 0.743 0.743
0.735 0.257 0.257
0.743 0.265 0.743
0.743 0.743 0.265
0.747 0.747 0.747
```

Computed properties:
SG: R-3m (166)
Total moment (μB/cell): 0.00
Uncorrected energy (eV per atom): -5.6336

***

YP4Ru4: optimized geometry, PBE.

Cell and atoms, written as POSCAR:
```
YP4Ru4
1.0
5.986 0.000 0.000
0.000 5.986 0.000
0.000 0.000 7.644
Y P Ru
2 8 8
Direct
0.250 0.750 0.250
0.750 0.250 0.750
0.036 0.250 0.067
0.250 0.036 0.567
0.250 0.464 0.567
0.464 0.250 0.067
0.536 0.750 0.933
0.750 0.536 0.433
0.750 0.964 0.433
0.964 0.750 0.933
0.022 0.250 0.371
0.250 0.022 0.871
0.250 0.478 0.871
0.478 0.250 0.371
0.522 0.750 0.629
0.750 0.522 0.129
0.750 0.978 0.129
0.978 0.750 0.629
```

Computed properties:
SG: P4_2/nmc (137)
ΔE_f (eV per formula unit): -5.6
Total moment (μB/cell): 0.00
Uncorrected energy (eV per atom): -7.8695

***

NaMgGa: optimized geometry, PBE.

Cell and atoms, written as POSCAR:
```
NaMgGa
1.0
3.679 0.000 0.000
-1.811 5.023 0.000
-0.038 -2.671 7.320
Na Mg Ga
2 2 2
Direct
0.000 0.000 0.000
0.307 0.611 0.149
0.320 0.637 0.659
0.990 0.975 0.490
0.643 0.286 0.777
0.666 0.326 0.371
```

Computed properties:
SG: P1 (1)
ΔE_f (eV per formula unit): -0.2
Polymorph energy (0 for the lowest one) (meV/atom): 10
Total moment (μB/cell): 0.00
Uncorrected energy (eV per atom): -2.0411

***

Na2ReHgSb: optimized geometry, PBE.

Cell and atoms, written as POSCAR:
```
Na2ReHgSb
1.0
5.881 0.000 0.000
0.000 5.881 0.000
0.000 0.000 5.624
Na Re Hg Sb
2 1 1 1
Direct
0.000 0.500 0.000
0.500 0.000 0.000
0.000 0.000 0.500
0.500 0.500 0.500
0.500 0.500 0.000
```

Computed properties:
SG: P4/mmm (123)
Total moment (μB/cell): 4.74
Uncorrected energy (eV per atom): -2.6537

***

Sr2SiAgAu6: optimized geometry, PBE.

Cell and atoms, written as POSCAR:
```
Sr2SiAgAu6
1.0
6.119 -2.859 0.000
6.119 2.859 0.000
-5.534 0.000 6.841
Sr Si Ag Au
2 1 1 6
Direct
0.228 0.228 0.187
0.772 0.772 0.813
0.000 0.000 0.500
0.500 0.500 0.000
0.248 0.248 0.616
0.250 0.744 0.727
0.256 0.750 0.273
0.744 0.250 0.727
0.750 0.256 0.273
0.752 0.752 0.384
```

Computed properties:
SG: C2/m (12)
Total moment (μB/cell): 0.00
Uncorrected energy (eV per atom): -3.5535

***

Tm8Cu2Os: optimized geometry, PBE.

Cell and atoms, written as POSCAR:
```
Tm8Cu2Os
1.0
8.481 -2.507 0.000
8.481 2.507 0.000
-2.034 0.000 6.309
Tm Cu Os
8 2 1
Direct
0.032 0.032 0.297
0.198 0.198 0.817
0.333 0.333 0.525
0.408 0.408 0.060
0.592 0.592 0.940
0.667 0.667 0.475
0.802 0.802 0.183
0.968 0.968 0.703
0.183 0.183 0.213
0.817 0.817 0.787
0.500 0.500 0.500
```

Computed properties:
SG: C2/m (12)
ΔE_f (eV per formula unit): -2.2
Total moment (μB/cell): 0.00
Uncorrected energy (eV per atom): -5.2143

***

Li2CaZnIn: optimized geometry, PBE.

Cell and atoms, written as POSCAR:
```
Li2CaZnIn
1.0
4.926 0.000 0.000
0.000 4.926 0.000
0.000 0.000 5.153
Li Ca Zn In
2 1 1 1
Direct
0.000 0.500 0.000
0.500 0.000 0.000
0.000 0.000 0.500
0.500 0.500 0.000
0.500 0.500 0.500
```

Computed properties:
SG: P4/mmm (123)
ΔE_f (eV per formula unit): -0.3
Polymorph energy (0 for the lowest one) (meV/atom): 0
Total moment (μB/cell): 0.00
Uncorrected energy (eV per atom): -2.0279

***

CaCd2BiO4: optimized geometry, PBE.

Cell and atoms, written as POSCAR:
```
CaCd2BiO4
1.0
11.757 0.000 0.000
0.000 4.776 0.000
-1.945 0.000 4.495
Ca Cd Bi O
2 4 2 8
Direct
0.000 0.000 0.000
0.500 0.500 0.000
0.225 0.000 0.720
0.489 0.000 0.489
0.725 0.500 0.720
0.989 0.500 0.489
0.247 0.500 0.242
0.747 0.000 0.242
0.007 0.000 0.506
0.038 0.500 0.032
0.227 0.000 0.221
0.279 0.500 0.821
0.507 0.500 0.506
0.538 0.000 0.032
0.727 0.500 0.221
0.779 0.000 0.821
```

Computed properties:
SG: Cm (8)
Total moment (μB/cell): 0.00
Uncorrected energy (eV per atom): -4.8151

***

La3AuO: optimized geometry, PBE.

Cell and atoms, written as POSCAR:
```
La3AuO
1.0
7.382 0.000 0.000
0.000 10.228 0.000
0.000 0.000 6.786
La Au O
12 4 4
Direct
0.019 0.250 0.109
0.201 0.048 0.691
0.201 0.452 0.691
0.299 0.548 0.191
0.299 0.952 0.191
0.481 0.750 0.609
0.519 0.250 0.391
0.701 0.048 0.809
0.701 0.452 0.809
0.799 0.548 0.309
0.799 0.952 0.309
0.981 0.750 0.891
0.083 0.750 0.445
0.417 0.250 0.945
0.583 0.750 0.055
0.917 0.250 0.555
0.000 0.000 0.000
0.000 0.500 0.000
0.500 0.000 0.500
0.500 0.500 0.500
```

Computed properties:
SG: Pnma (62)
Polymorph energy (0 for the lowest one) (meV/atom): 0
Total moment (μB/cell): 0.00
Uncorrected energy (eV per atom): -6.0639

***

Ca2PrAg9: optimized geometry, PBE.

Cell and atoms, written as POSCAR:
```
Ca2PrAg9
1.0
2.856 1.649 9.337
-2.856 1.649 9.337
0.000 -3.298 9.337
Ca Pr Ag
2 1 9
Direct
0.142 0.142 0.142
0.858 0.858 0.858
0.000 0.000 0.000
0.082 0.585 0.585
0.333 0.333 0.333
0.415 0.415 0.918
0.415 0.918 0.415
0.500 0.500 0.500
0.585 0.082 0.585
0.585 0.585 0.082
0.667 0.667 0.667
0.918 0.415 0.415
```

Computed properties:
SG: R-3m (166)
ΔE_f (eV per formula unit): -2.4
Total moment (μB/cell): 0.00
Uncorrected energy (eV per atom): -3.0687

***

Sm8DySc5: optimized geometry, PBE.

Cell and atoms, written as POSCAR:
```
Sm8DySc5
1.0
-4.679 4.679 4.991
4.679 -4.679 4.991
4.679 4.679 -4.991
Sm Dy Sc
8 1 5
Direct
0.155 0.422 0.079
0.344 0.076 0.921
0.420 0.161 0.396
0.578 0.656 0.733
0.766 0.024 0.604
0.839 0.234 0.259
0.924 0.845 0.267
0.976 0.580 0.741
0.250 0.750 0.500
0.000 0.000 0.000
0.230 0.321 0.693
0.463 0.770 0.091
0.628 0.537 0.307
0.679 0.372 0.909
```

Computed properties:
SG: I-4 (82)
ΔE_f (eV per formula unit): 3.7
Total moment (μB/cell): 0.00
Uncorrected energy (eV per atom): -5.0239

***

no.,density (kg/m³)
1,7947
2,8478
3,7476
4,5443
5,5989
6,8591
7,6694
8,6943
9,16183
10,5118
11,7483
12,2873
13,4734
14,10360
15,10328
16,3110
17,7077
18,8163
19,7500
20,6041